Material: Ho3PtPb2
Method: DFT, GGA-PBE
State: relaxed

a b c (Å): 12.342 4.520 11.650
angles (deg): 90.00 90.00 90.00
Space group Pnma (No. 62)
Symmetry-distinct sites (fractional):
Ho  0.056  0.250  0.131 [4 per cell]
Ho  0.120  0.750  0.548 [4 per cell]
Ho  0.245  0.250  0.796 [4 per cell]
Pt  0.120  0.250  0.372 [4 per cell]
Pb  0.012  0.250  0.699 [4 per cell]
Pb  0.183  0.750  0.004 [4 per cell]

Computed properties:
DFT formation energy in eV per atom: -0.696
Crystal system: orthorhombic

Material: HoPt2Pb
Method: DFT, GGA-PBE
State: relaxed

a b c (Å): 3.563 3.563 6.698
angles (deg): 90.00 90.00 90.00
Space group P4/mmm (No. 123)
Symmetry-distinct sites (fractional):
Ho  0.000  0.000  0.000 [1 per cell]
Pt  0.500  0.500  0.228 [2 per cell]
Pb  0.000  0.000  0.500 [1 per cell]

Computed properties:
DFT formation energy in eV per atom: -0.747
Crystal system: tetragonal

Material: Ho5Pt2Pb
Method: DFT, GGA-PBE
State: relaxed

a b c (Å): 7.826 7.826 13.499
angles (deg): 90.00 90.00 90.00
Space group I4/mcm (No. 140)
Symmetry-distinct sites (fractional):
Ho  0.000  0.000  0.000 [4 per cell]
Ho  0.158  0.342  0.137 [16 per cell]
Pt  0.137  0.363  0.500 [8 per cell]
Pb  0.000  0.000  0.250 [4 per cell]

Computed properties:
DFT formation energy in eV per atom: -0.868
Crystal system: tetragonal

Material: HoPtPb
Method: DFT, GGA-PBE
State: relaxed

a b c (Å): 3.530 3.530 11.586
angles (deg): 90.00 90.00 90.00
Space group I4mm (No. 107)
Symmetry-distinct sites (fractional):
Ho  0.000  0.000  0.000 [2 per cell]
Pt  0.000  0.000  0.374 [2 per cell]
Pb  0.000  0.000  0.712 [2 per cell]

Computed properties:
DFT formation energy in eV per atom: -0.656
Crystal system: tetragonal

Material: Ho4Pt2Pb
Method: DFT, GGA-PBE
State: relaxed

a b c (Å): 4.6182 4.6182 30.9017
angles (deg): 90.00 90.00 120.00
Space group R-3m (No. 166, hexagonal axes)
Symmetry-distinct sites (fractional):
Ho  0.0000  0.0000  0.1124 [6 per cell]
Ho  0.0000  0.0000  0.2995 [6 per cell]
Pt  0.0000  0.0000  0.3973 [6 per cell]
Pb  0.0000  0.0000  0.5000 [3 per cell]

Computed properties:
DFT formation energy in eV per atom: -0.819
Crystal system: trigonal

Material: HoPt2Pb
Method: DFT, GGA-PBE
State: relaxed

a b c (Å): 4.684 4.684 3.785
angles (deg): 90.00 90.00 90.00
Space group P4/mmm (No. 123)
Symmetry-distinct sites (fractional):
Ho  0.000  0.000  0.000 [1 per cell]
Pt  0.000  0.500  0.500 [2 per cell]
Pb  0.500  0.500  0.000 [1 per cell]

Computed properties:
DFT formation energy in eV per atom: -0.691
Crystal system: tetragonal

Material: Ho4Pt2Pb5
Method: DFT, GGA-PBE
State: relaxed

a b c (Å): 8.171 3.583 9.956
angles (deg): 90.00 94.65 90.00
Space group P2/m (No. 10)
Symmetry-distinct sites (fractional):
Ho  0.202  0.000  0.433 [2 per cell]
Ho  0.203  0.000  0.842 [2 per cell]
Pt  0.081  0.500  0.634 [2 per cell]
Pb  0.144  0.500  0.134 [2 per cell]
Pb  0.471  0.500  0.666 [2 per cell]
Pb  0.500  0.500  0.000 [1 per cell]

Computed properties:
DFT formation energy in eV per atom: -0.682
Crystal system: monoclinic

Material: Ho2Pt9Pb
Method: DFT, GGA-PBE
State: relaxed

a b c (Å): 4.110 4.110 12.388
angles (deg): 90.00 90.00 90.00
Space group P4/mmm (No. 123)
Symmetry-distinct sites (fractional):
Ho  0.000  0.000  0.164 [2 per cell]
Pt  0.000  0.500  0.000 [2 per cell]
Pt  0.000  0.500  0.330 [4 per cell]
Pt  0.500  0.500  0.167 [2 per cell]
Pt  0.500  0.500  0.500 [1 per cell]
Pb  0.000  0.000  0.500 [1 per cell]

Computed properties:
DFT formation energy in eV per atom: -0.738
Crystal system: tetragonal

Material: HoPuPtPb
Method: DFT, GGA-PBE
State: relaxed

a b c (Å): 7.356 7.356 7.356
angles (deg): 90.00 90.00 90.00
Space group F-43m (No. 216)
Symmetry-distinct sites (fractional):
Ho  0.000  0.000  0.000 [4 per cell]
Pu  0.000  0.000  0.500 [4 per cell]
Pt  0.250  0.250  0.250 [4 per cell]
Pb  0.250  0.250  0.750 [4 per cell]

Computed properties:
DFT formation energy in eV per atom: -0.487
Crystal system: cubic

Material: HoScPtPb
Method: DFT, GGA-PBE
State: relaxed

a b c (Å): 7.136 7.136 7.136
angles (deg): 90.00 90.00 90.00
Space group F-43m (No. 216)
Symmetry-distinct sites (fractional):
Ho  0.000  0.000  0.000 [4 per cell]
Sc  0.000  0.000  0.500 [4 per cell]
Pt  0.250  0.250  0.250 [4 per cell]
Pb  0.250  0.250  0.750 [4 per cell]

Computed properties:
DFT formation energy in eV per atom: -0.702
Crystal system: cubic

Material: TbHoPtPb
Method: DFT, GGA-PBE
State: relaxed

a b c (Å): 7.338 7.338 7.338
angles (deg): 90.00 90.00 90.00
Space group F-43m (No. 216)
Symmetry-distinct sites (fractional):
Tb  0.000  0.000  0.000 [4 per cell]
Ho  0.000  0.000  0.500 [4 per cell]
Pt  0.250  0.250  0.750 [4 per cell]
Pb  0.250  0.250  0.250 [4 per cell]

Computed properties:
DFT formation energy in eV per atom: -0.738
Crystal system: cubic

Material: Ho6Te3Pt2Pb
Method: DFT, GGA-PBE
State: relaxed

a b c (Å): 19.063 4.174 8.835
angles (deg): 90.00 107.02 90.00
Space group C2/m (No. 12)
Symmetry-distinct sites (fractional):
Ho  0.012  0.000  0.258 [4 per cell]
Ho  0.171  0.500  0.120 [4 per cell]
Ho  0.177  0.500  0.565 [4 per cell]
Te  0.000  0.500  0.500 [2 per cell]
Te  0.161  0.000  0.838 [4 per cell]
Pt  0.168  0.000  0.339 [4 per cell]
Pb  0.000  0.500  0.000 [2 per cell]

Computed properties:
E_form (uncorrected) in eV per formula unit: -13.5
Crystal system: monoclinic

Material: HoTmPtPb
Method: DFT, GGA-PBE
State: relaxed

a b c (Å): 7.280 7.280 7.280
angles (deg): 90.00 90.00 90.00
Space group F-43m (No. 216)
Symmetry-distinct sites (fractional):
Ho  0.000  0.000  0.000 [4 per cell]
Tm  0.000  0.000  0.500 [4 per cell]
Pt  0.250  0.250  0.250 [4 per cell]
Pb  0.250  0.250  0.750 [4 per cell]

Computed properties:
DFT formation energy in eV per atom: -0.745
Crystal system: cubic

Material: YHoPtPb
Method: DFT, GGA-PBE
State: relaxed

a b c (Å): 7.329 7.329 7.329
angles (deg): 90.00 90.00 90.00
Space group F-43m (No. 216)
Symmetry-distinct sites (fractional):
Y  0.000  0.000  0.000 [4 per cell]
Ho  0.000  0.000  0.500 [4 per cell]
Pt  0.250  0.250  0.750 [4 per cell]
Pb  0.250  0.250  0.250 [4 per cell]

Computed properties:
DFT formation energy in eV per atom: -0.748
Crystal system: cubic

Material: HoPu2Pb
Method: DFT, GGA-PBE
State: relaxed

a b c (Å): 4.584 4.584 5.199
angles (deg): 90.00 90.00 90.00
Space group P4/mmm (No. 123)
Symmetry-distinct sites (fractional):
Ho  0.000  0.000  0.000 [1 per cell]
Pu  0.000  0.500  0.500 [2 per cell]
Pb  0.500  0.500  0.000 [1 per cell]

Computed properties:
DFT formation energy in eV per atom: -0.164
Offset from the most stable computed form in meV per atom: 0.0
Crystal system: tetragonal

Material: HoPuPb2
Method: DFT, GGA-PBE
State: relaxed

a b c (Å): 4.969 4.969 4.540
angles (deg): 90.00 90.00 90.00
Space group P4/mmm (No. 123)
Symmetry-distinct sites (fractional):
Ho  0.000  0.000  0.000 [1 per cell]
Pu  0.500  0.500  0.000 [1 per cell]
Pb  0.000  0.500  0.500 [2 per cell]

Computed properties:
DFT formation energy in eV per atom: -0.267
Crystal system: tetragonal

Material: Ho2PuPb
Method: DFT, GGA-PBE
State: relaxed

a b c (Å): 3.5062 3.5062 32.7856
angles (deg): 90.00 90.00 120.00
Space group R-3m (No. 166, hexagonal axes)
Symmetry-distinct sites (fractional):
Ho  0.0000  0.0000  0.2487 [6 per cell]
Pu  0.0000  0.0000  0.0000 [3 per cell]
Pb  0.0000  0.0000  0.5000 [3 per cell]

Computed properties:
DFT formation energy in eV per atom: -0.076
Offset from the most stable computed form in meV per atom: 99.6
Crystal system: trigonal

Material: HoPu2Pb
Method: DFT, GGA-PBE
State: relaxed

a b c (Å): 7.687 7.687 7.687
angles (deg): 90.00 90.00 90.00
Space group Fm-3m (No. 225)
Symmetry-distinct sites (fractional):
Ho  0.000  0.000  0.000 [4 per cell]
Pu  0.250  0.250  0.250 [8 per cell]
Pb  0.000  0.000  0.500 [4 per cell]

Computed properties:
DFT formation energy in eV per atom: 0.109
Offset from the most stable computed form in meV per atom: 272.5
Crystal system: cubic

Material: Ho2PuPb
Method: DFT, GGA-PBE
State: relaxed

a b c (Å): 3.558 3.558 9.088
angles (deg): 90.00 90.00 90.00
Space group P4/mmm (No. 123)
Symmetry-distinct sites (fractional):
Ho  0.000  0.000  0.240 [2 per cell]
Pu  0.500  0.500  0.500 [1 per cell]
Pb  0.500  0.500  0.000 [1 per cell]

Computed properties:
DFT formation energy in eV per atom: -0.116
Offset from the most stable computed form in meV per atom: 59.7
Crystal system: tetragonal

Material: Ho2PuPb3
Method: DFT, GGA-PBE
State: relaxed

a b c (Å): 3.510 3.510 13.580
angles (deg): 90.00 90.00 90.00
Space group P4/mmm (No. 123)
Symmetry-distinct sites (fractional):
Ho  0.000  0.000  0.166 [2 per cell]
Pu  0.000  0.000  0.500 [1 per cell]
Pb  0.500  0.500  0.000 [1 per cell]
Pb  0.500  0.500  0.329 [2 per cell]

Computed properties:
DFT formation energy in eV per atom: -0.335
Crystal system: tetragonal

Material: HoPu5Pb6
Method: DFT, GGA-PBE
State: relaxed

a b c (Å): 4.951 14.874 9.161
angles (deg): 90.00 90.00 90.00
Space group Cmmm (No. 65)
Symmetry-distinct sites (fractional):
Ho  0.000  0.000  0.000 [2 per cell]
Pu  0.000  0.000  0.500 [2 per cell]
Pu  0.000  0.327  0.500 [4 per cell]
Pu  0.000  0.329  0.000 [4 per cell]
Pb  0.000  0.164  0.249 [8 per cell]
Pb  0.000  0.500  0.249 [4 per cell]

Computed properties:
DFT formation energy in eV per atom: -0.172
Crystal system: orthorhombic

Material: Ho2PuPb
Method: DFT, GGA-PBE
State: relaxed

a b c (Å): 4.918 4.918 4.630
angles (deg): 90.00 90.00 90.00
Space group P4/mmm (No. 123)
Symmetry-distinct sites (fractional):
Ho  0.000  0.500  0.000 [2 per cell]
Pu  0.000  0.000  0.500 [1 per cell]
Pb  0.500  0.500  0.500 [1 per cell]

Computed properties:
DFT formation energy in eV per atom: -0.175
Offset from the most stable computed form in meV per atom: 0.0
Crystal system: tetragonal

Material: HoPuPb2
Method: DFT, GGA-PBE
State: relaxed

a b c (Å): 3.501 3.501 9.107
angles (deg): 90.00 90.00 90.00
Space group P4/mmm (No. 123)
Symmetry-distinct sites (fractional):
Ho  0.000  0.000  0.000 [1 per cell]
Pu  0.000  0.000  0.500 [1 per cell]
Pb  0.500  0.500  0.245 [2 per cell]

Computed properties:
DFT formation energy in eV per atom: -0.297
Crystal system: tetragonal

Material: Ho2PuPb9
Method: DFT, GGA-PBE
State: relaxed

a b c (Å): 4.869 4.869 14.588
angles (deg): 90.00 90.00 90.00
Space group P4/mmm (No. 123)
Symmetry-distinct sites (fractional):
Ho  0.000  0.000  0.170 [2 per cell]
Pu  0.000  0.000  0.500 [1 per cell]
Pb  0.000  0.500  0.000 [2 per cell]
Pb  0.000  0.500  0.333 [4 per cell]
Pb  0.500  0.500  0.167 [2 per cell]
Pb  0.500  0.500  0.500 [1 per cell]

Computed properties:
DFT formation energy in eV per atom: -0.231
Crystal system: tetragonal

Material: HoPuRhPb
Method: DFT, GGA-PBE
State: relaxed

a b c (Å): 7.293 7.293 7.293
angles (deg): 90.00 90.00 90.00
Space group F-43m (No. 216)
Symmetry-distinct sites (fractional):
Ho  0.000  0.000  0.000 [4 per cell]
Pu  0.000  0.000  0.500 [4 per cell]
Rh  0.250  0.250  0.250 [4 per cell]
Pb  0.250  0.250  0.750 [4 per cell]

Computed properties:
DFT formation energy in eV per atom: -0.267
Crystal system: cubic

Material: HoPuRuPb
Method: DFT, GGA-PBE
State: relaxed

a b c (Å): 7.237 7.237 7.237
angles (deg): 90.00 90.00 90.00
Space group F-43m (No. 216)
Symmetry-distinct sites (fractional):
Ho  0.000  0.000  0.000 [4 per cell]
Pu  0.000  0.000  0.500 [4 per cell]
Ru  0.250  0.250  0.250 [4 per cell]
Pb  0.250  0.250  0.750 [4 per cell]

Computed properties:
DFT formation energy in eV per atom: -0.045
Offset from the most stable computed form in meV per atom: 254.5
Crystal system: cubic